8
Lattice="-2.581 2.581 3.475 2.581 -2.581 3.475 2.581 2.581 -3.475" Properties=species:S:1:pos:R:3 comment="NaNi2PtO4, optimized geometry, DFT PBE+U" energy_ev_per_cell=-35.98 pbc="T T T"
Na 0.000 0.000 0.000
Ni 2.581 0.000 1.738
Ni 0.000 2.581 1.738
Pt 0.000 0.000 3.475
O 1.627 1.627 -1.582
O 0.955 0.955 1.893
O 0.955 -0.955 5.057
O -0.955 0.955 5.057